{
  "formula": "Zn2Cr2O5",
  "functional": "PBE with a Hubbard U",
  "state": "optimized geometry",
  "m_tot_mub_per_cell": 12.0,
  "total_energy_ev_per_cell": -111.4,
  "crystal_system": "orthorhombic",
  "lattice_angstrom": [[6.332, 0.000, 0.000], [0.000, 7.533, 0.000], [0.000, 0.000, 4.151]],
  "species": ["Zn", "Zn", "Zn", "Zn", "Cr", "Cr", "Cr", "Cr", "O", "O", "O", "O", "O", "O", "O", "O", "O", "O"],
  "fractional_positions": [[0.115, 0.175, 0.000], [0.385, 0.675, 0.000], [0.615, 0.325, 0.000], [0.885, 0.825, 0.000], [0.230, 0.905, 0.500], [0.270, 0.405, 0.500], [0.730, 0.595, 0.500], [0.770, 0.095, 0.500], [0.000, 0.500, 0.500], [0.107, 0.153, 0.500], [0.196, 0.888, 0.000], [0.304, 0.388, 0.000], [0.393, 0.653, 0.500], [0.500, 0.000, 0.500], [0.607, 0.347, 0.500], [0.696, 0.612, 0.000], [0.804, 0.112, 0.000], [0.893, 0.847, 0.500]]
}